This record from Alexandria describes an optimized crystal structure of LiLaIr. The functional is PBE.

abc: 5.398 5.398 5.398
angles: 140.73 140.73 56.75
Positions (direct):
Li1 0.000 0.000 0.000
La1 0.289 0.289 0.000
Ir1 0.628 0.628 0.000

Values from the calculation:
The symmetry is No. 107. As for the energy of formation: -0.7 eV/f.u. The value obtained for the excess energy over the best structure of this formula in the dataset is 0.248 eV per atom. As for the crystal system: tetragonal. The calculation puts the total DFT energy (no corrections) at -5.46 eV per atom.